1.
The following is a DFT calculation (GGA-PBE) of RbCaSn3 after structural relaxation.

Values from the calculation:
M_tot: 0.000 μB per formula unit
symmetry: Pm-3m, No. 221
electronic total energy: -2.122 eV per atom
density of states at the Fermi level: 4.9 states/eV/f.u.
E above lowest polymorph: 629.3 meV/atom

Cell: 5.9520 5.9520 5.9520 Å, 90.00 90.00 90.00°
Closest atoms and distances in Å follow each position.
Atoms (fractional coordinates):
Rb (0.0000, 0.0000, 0.0000)  6 Sn 2.98
Ca (0.5000, 0.5000, 0.5000)  12 Sn 4.21
Sn (0.0000, 0.0000, 0.5000)  2 Rb 2.98
Sn (0.0000, 0.5000, 0.0000)  2 Rb 2.98
Sn (0.5000, 0.0000, 0.0000)  2 Rb 2.98

2.
The following is a DFT calculation (GGA-PBE) of Tb4CdRu after structural relaxation.

Values from the calculation:
M_tot: 0.000 μB per formula unit
symmetry: C2/c, No. 15
electronic total energy: -5.072 eV per atom
density of states at the Fermi level: 6.6 states/eV/f.u.
E above lowest polymorph: 42.9 meV/atom

Cell: 7.7360 7.7360 6.2196 Å, 99.41 99.41 111.07°
Closest atoms and distances in Å follow each position.
Atoms (fractional coordinates):
Tb (0.0638, 0.7259, 0.9549)  2 Ru 2.78-2.82
Tb (0.2010, 0.3645, 0.6040)  2 Ru 2.98-3.06, 1 Cd 3.22
Tb (0.2741, 0.9362, 0.5451)  2 Ru 2.78-2.82
Tb (0.3645, 0.2010, 0.1040)  2 Ru 2.98-3.06, 1 Cd 3.22
Tb (0.6355, 0.7990, 0.8960)  2 Ru 2.98-3.06, 1 Cd 3.22
Tb (0.7259, 0.0638, 0.4549)  2 Ru 2.78-2.82
Tb (0.7990, 0.6355, 0.3960)  2 Ru 2.98-3.06, 1 Cd 3.22
Tb (0.9362, 0.2741, 0.0451)  2 Ru 2.78-2.82
Cd (0.3756, 0.6244, 0.2500)  8 Tb 3.19-3.37
Cd (0.6244, 0.3756, 0.7500)  8 Tb 3.19-3.37
Ru (0.0010, 0.9990, 0.7500)  8 Tb 2.78-3.06, 2 Ru 3.11
Ru (0.9990, 0.0010, 0.2500)  8 Tb 2.78-3.06, 2 Ru 3.11